Record 1
DFT (PBE-GGA) results for an optimized crystal structure of TlIn2Cl6.

Properties
ΔE_f (raw) (eV per atom): -0.9558
Space-group type: C2/c
E_tot (eV for the cell shown): -55.05

Cell lengths 9.8807, 9.8807, 8.3129 Å; angles 107.13, 107.13, 79.35 degrees
Last column: nearest neighbours and their distance in Å.
Atoms (fractional coordinates):
Tl: 0.1212 0.8788 0.7500  6 Cl 3.23-3.28
Tl: 0.8788 0.1212 0.2500  6 Cl 3.23-3.28
In: 0.1875 0.3774 0.7991  4 Cl 2.43-2.57
In: 0.3774 0.1875 0.2991  4 Cl 2.43-2.57
In: 0.6226 0.8125 0.7009  4 Cl 2.43-2.57
In: 0.8125 0.6226 0.2009  4 Cl 2.43-2.57
Cl: 0.0244 0.1934 0.6711  1 In 2.44
Cl: 0.0412 0.6056 0.8283  1 In 2.43
Cl: 0.1934 0.0244 0.1711  1 In 2.44
Cl: 0.3391 0.3533 0.5863  2 In 2.56-2.57
Cl: 0.3533 0.3391 0.0863  2 In 2.56-2.57
Cl: 0.3944 0.9588 0.6717  1 In 2.43
Cl: 0.6056 0.0412 0.3283  1 In 2.43
Cl: 0.6467 0.6609 0.9137  2 In 2.56-2.57
Cl: 0.6609 0.6467 0.4137  2 In 2.56-2.57
Cl: 0.8066 0.9756 0.8289  1 In 2.44
Cl: 0.9588 0.3944 0.1717  1 In 2.43
Cl: 0.9756 0.8066 0.3289  1 In 2.44

Record 2
DFT (PBE-GGA) results for an optimized crystal structure of Mg2V2W.

Properties
Formation energy from the elements (eV per atom): 0.753
Space-group type: I4/mmm
E_tot (eV for the cell shown): -30.61

Cell lengths 6.6563, 6.6563, 6.6563 Å; angles 147.28, 147.28, 46.95 degrees
Last column: nearest neighbours and their distance in Å.
Atoms (fractional coordinates):
Mg: 0.2500 0.7500 0.5000  4 Mg 2.65, 4 V 2.81
Mg: 0.7500 0.2500 0.5000  4 Mg 2.65, 4 V 2.81
V: 0.0789 0.0789 0.0000  1 V 1.93
V: 0.9211 0.9211 0.0000  1 V 1.93
W: 0.5000 0.5000 0.0000  8 V 2.82

no.,total moment (μB per formula unit)
1,0.0
2,0.0